1.
Material: La6In2NiOs
Method: DFT, PBE
State: relaxed

abc: 7.6283 7.6562 7.7586
angles: 119.33 118.66 90.20
Fractional positions:
1 La 0.1745 0.1742 0.4660
2 La 0.2582 0.7211 0.9957
3 La 0.3168 0.6973 0.5117
4 La 0.6832 0.3027 0.4883
5 La 0.7418 0.2789 0.0043
6 La 0.8255 0.8258 0.5340
7 In 0.2558 0.2518 0.0006
8 In 0.7442 0.7482 0.9994
9 Ni 0.5000 0.0000 0.5000
10 Os 0.0000 0.5000 0.5000

Computed properties:
As for the formation energy: -0.27 eV per atom. For the density of states at the Fermi level, the calculation gives 9.893 states/eV per cell. The electronic total energy is -5.48 eV per atom.



2.
Material: LaIn2NiP
Method: DFT, PBE
State: relaxed

abc: 4.8420 4.8420 5.2507
angles: 90.00 90.00 90.00
Fractional positions:
1 La 0.0000 0.0000 0.0000
2 In 0.0000 0.5000 0.5000
3 In 0.5000 0.0000 0.5000
4 Ni 0.0000 0.0000 0.5000
5 P 0.5000 0.5000 0.0000

Computed properties:
As for the formation energy: -0.32 eV per atom. For the density of states at the Fermi level, the calculation gives 0.786 states/eV per cell. The electronic total energy is -4.63 eV per atom.



3.
Material: LaIn2NiPb
Method: DFT, PBE
State: relaxed

abc: 5.0299 5.0299 5.2307
angles: 90.00 90.00 90.00
Fractional positions:
1 La 0.0000 0.0000 0.0000
2 In 0.0000 0.5000 0.5000
3 In 0.5000 0.0000 0.5000
4 Ni 0.0000 0.0000 0.5000
5 Pb 0.5000 0.5000 0.0000

Computed properties:
As for the formation energy: -0.35 eV per atom. For the density of states at the Fermi level, the calculation gives 2.961 states/eV per cell. The electronic total energy is -4.33 eV per atom.